# 1
5
Lattice="5.732 -0.013 -0.018 -2.769 5.019 0.018 -2.769 -1.741 4.707" Properties=species:S:1:pos:R:3 comment="GGA-PBEsol Sr2LiPd2, relaxed" sg="I4/mmm, No. 139" e_tot_ev_per_atom=-3.751 dos_ef_per_ev_atom=0.39 e_above_lowest_polymorph_mev_per_atom=155 pbc="T T T"
Sr 0.097 3.322 1.181
Sr 0.097 -0.057 3.526
Pd -3.680 2.178 3.140
Pd -1.859 1.100 1.586
Li 0.000 0.000 0.000

=====

# 2
3
Lattice="3.043 0.000 0.000 0.000 3.043 0.000 -1.522 -1.522 5.010" Properties=species:S:1:pos:R:3 comment="GGA-PBEsol CoTeIr, relaxed" e_form_raw_ev_per_atom=0.525 sg="I4mm, No. 107" e_tot_ev_per_atom=-6.504 dos_ef_per_ev_atom=1.67 e_above_lowest_polymorph_mev_per_atom=79 pbc="T T T"
Te 1.522 1.522 1.606
Ir 0.000 0.000 3.461
Co 1.522 1.522 4.953

=====

# 3
6
Lattice="-2.681 -2.154 4.935 3.283 -2.615 4.308 0.769 2.761 5.288" Properties=species:S:1:pos:R:3 comment="GGA-PBEsol CoAgBr4, relaxed" e_form_raw_ev_per_atom=1.126 sg="F-43m, No. 216" e_tot_ev_per_atom=-1.962 dos_ef_per_ev_atom=1.21 pbc="T T T"
Co 1.028 -1.506 10.899
Br 0.515 -0.754 5.457
Br 0.898 0.620 8.090
Br -0.820 -1.827 7.914
Br 2.150 -2.056 7.602
Ag 0.000 0.000 0.000

=====

# 4
4
Lattice="2.954 0.000 0.000 1.477 2.558 0.000 1.477 0.853 9.143" Properties=species:S:1:pos:R:3 comment="GGA-PBEsol ZnReCl2, relaxed" e_form_raw_ev_per_atom=0.372 sg="R-3m, No. 166" e_tot_ev_per_atom=-4.360 dos_ef_per_ev_atom=0.72 e_above_lowest_polymorph_mev_per_atom=270 pbc="T T T"
Re 2.954 1.705 4.572
Zn 0.000 0.000 0.000
Cl 1.477 0.853 2.760
Cl 4.431 2.558 6.383

=====

# 5
4
Lattice="3.877 0.000 0.000 0.000 5.371 0.031 0.000 -1.784 5.207" Properties=species:S:1:pos:R:3 comment="GGA-PBEsol BaSi2Sb, relaxed" e_form_raw_ev_per_atom=-0.159 sg="Pm, No. 6" e_tot_ev_per_atom=-4.709 dos_ef_per_ev_atom=0.46 pbc="T T T"
Sb 1.939 -0.465 4.435
Si 0.000 5.093 0.727
Si 1.939 3.765 0.161
Ba 0.000 2.359 2.566

=====

# 6
4
Lattice="5.186 0.000 0.000 2.593 4.491 0.000 2.593 1.497 4.234" Properties=species:S:1:pos:R:3 comment="GGA-PBEsol CaMg2Tl, relaxed" sg="F-43m, No. 216" e_tot_ev_per_atom=-2.269 dos_ef_per_ev_atom=0.31 e_above_lowest_polymorph_mev_per_atom=0 pbc="T T T"
Mg 0.000 0.000 0.000
Mg 7.778 4.491 3.175
Ca 2.593 1.497 1.058
Tl 5.186 2.994 2.117

=====

# 7
3
Lattice="-2.520 -0.473 -1.648 -0.397 -3.732 1.678 -1.774 3.253 1.780" Properties=species:S:1:pos:R:3 comment="GGA-PBEsol AlCoHg, relaxed" sg="P-6m2, No. 187" e_tot_ev_per_atom=-4.019 dos_ef_per_ev_atom=0.48 pbc="T T T"
Co -0.856 -1.403 1.712
Hg -2.575 0.689 0.922
Al 0.000 0.000 0.000

=====

# 8
4
Lattice="-0.003 4.008 -1.601 -3.553 -1.577 1.877 2.148 2.449 6.126" Properties=species:S:1:pos:R:3 comment="GGA-PBEsol Li2IBr, relaxed" e_form_raw_ev_per_atom=-1.358 sg="P3m1, No. 156" e_tot_ev_per_atom=-3.251 dos_ef_per_ev_atom=0.00 e_above_lowest_polymorph_mev_per_atom=3 pbc="T T T"
I 0.803 0.915 2.289
Br -0.477 2.442 6.115
Li -1.249 1.562 3.914
Li 2.091 2.384 5.963

=====

# 9
10
Lattice="4.330 0.000 0.000 2.165 5.407 0.007 2.165 0.621 9.319" Properties=species:S:1:pos:R:3 comment="GGA-PBEsol Nd2Ge2Ir, relaxed" sg="C2/m, No. 12" e_tot_ev_per_atom=-6.882 dos_ef_per_ev_atom=0.53 pbc="T T T"
Ge 2.165 1.440 0.491
Ge 4.330 3.719 3.569
Ge 6.495 4.589 8.834
Ge 4.330 2.309 5.756
Ir 4.330 2.163 1.528
Ir 4.330 3.865 7.797
Nd 6.495 1.501 7.740
Nd 2.165 1.505 3.566
Nd 2.165 4.527 1.585
Nd 6.495 4.524 5.759

=====

# 10
4
Lattice="-1.318 -2.706 2.184 2.350 -2.323 1.706 0.579 2.122 6.144" Properties=species:S:1:pos:R:3 comment="GGA-PBEsol LiAgCl2, relaxed" e_form_raw_ev_per_atom=-1.081 sg="R-3m, No. 166" e_tot_ev_per_atom=-3.404 dos_ef_per_ev_atom=0.00 pbc="T T T"
Cl 0.408 -0.649 2.608
Cl 1.203 -2.258 7.426
Ag 0.000 0.000 0.000
Li 0.805 -1.454 5.017

=====

# 11
3
Lattice="3.558 0.000 0.000 -1.779 3.081 0.000 0.000 0.000 5.041" Properties=species:S:1:pos:R:3 comment="GGA-PBEsol AlSiSe, relaxed" e_form_raw_ev_per_atom=0.014 sg="P3m1, No. 156" e_tot_ev_per_atom=-4.549 dos_ef_per_ev_atom=0.46 pbc="T T T"
Si 1.779 1.027 1.624
Al 0.000 0.000 5.035
Se 0.000 2.054 3.422

=====

# 12
3
Lattice="-3.535 0.561 3.007 0.570 -1.099 4.508 0.188 3.380 3.224" Properties=species:S:1:pos:R:3 comment="GGA-PBEsol TlCdAg, relaxed" sg="F-43m, No. 216" e_tot_ev_per_atom=-2.117 dos_ef_per_ev_atom=0.37 pbc="T T T"
Tl -0.694 0.711 2.685
Ag 0.000 0.000 0.000
Cd -1.388 1.421 5.370